Here is BeSe2Cl at its PBEsol-relaxed geometry from Alexandria via LeMat-Bulk. Energies are from SCAN.

Lattice parameters (Å, degrees): 3.0206 3.0206 29.7762 90.00 90.00 120.00
Space group R-3m (No. 166, hexagonal axes)
Unique sites:
Be: 0.0000 0.0000 0.0000 x3
Se: 0.0000 0.0000 0.0691 x6
Cl: 0.0000 0.0000 0.5000 x3

Summary:
Spin magnetization ... 0.00 μB per formula unit

Here is BeSe2Cl at its PBEsol-relaxed geometry from Alexandria via LeMat-Bulk. Energies are from SCAN.

Lattice parameters (Å, degrees): 4.883 4.883 2.911 90.00 90.00 90.00
Space group P4/mmm (No. 123)
Unique sites:
Be: 0.000 0.000 0.000 x1
Se: 0.000 0.500 0.500 x2
Cl: 0.500 0.500 0.000 x1

Summary:
Spin magnetization ... 0.50 μB per formula unit

Here is BeSe2Cl at its PBEsol-relaxed geometry from Alexandria via LeMat-Bulk. Energies are from SCAN.

Lattice parameters (Å, degrees): 3.183 3.183 6.831 90.00 90.00 90.00
Space group P4/mmm (No. 123)
Unique sites:
Be: 0.000 0.000 0.000 x1
Se: 0.500 0.500 0.180 x2
Cl: 0.000 0.000 0.500 x1

Summary:
Spin magnetization ... 0.00 μB per formula unit

Here is BeSe2Cl at its PBEsol-relaxed geometry from Alexandria via LeMat-Bulk. Energies are from SCAN.

Lattice parameters (Å, degrees): 3.158 6.811 8.233 90.00 90.00 90.00
Space group Cmm2 (No. 35)
Unique sites:
Be: 0.000 0.000 0.000 x2
Se: 0.000 0.000 0.562 x2
Se: 0.000 0.500 0.793 x2
Cl: 0.000 0.500 0.160 x2

Summary:
Spin magnetization ... 0.00 μB per formula unit

Here is TaBe2SeCl at its PBEsol-relaxed geometry from Alexandria via LeMat-Bulk. Energies are from SCAN.

Lattice parameters (Å, degrees): 3.763 3.763 5.822 90.00 90.00 90.00
Space group P4/mmm (No. 123)
Unique sites:
Ta: 0.000 0.000 0.000 x1
Be: 0.000 0.500 0.500 x2
Se: 0.500 0.500 0.000 x1
Cl: 0.500 0.500 0.500 x1

Summary:
Spin magnetization ... 0.00 μB per formula unit

Here is BeZn2SeCl at its PBEsol-relaxed geometry from Alexandria via LeMat-Bulk. Energies are from SCAN.

Lattice parameters (Å, degrees): 4.766 4.766 3.918 90.00 90.00 90.00
Space group P4/mmm (No. 123)
Unique sites:
Be: 0.000 0.000 0.000 x1
Zn: 0.000 0.500 0.000 x2
Se: 0.500 0.500 0.500 x1
Cl: 0.000 0.000 0.500 x1

Summary:
Spin magnetization ... 0.00 μB per formula unit

Number 1: total energy -12.796 eV/atom, mass density 4.3 Mg/m³, formation energy (no corrections) 0.3259 eV per atom. Number 2: total energy -12.378 eV/atom, mass density 4.8 Mg/m³, formation energy (no corrections) 0.7439 eV per atom. Number 3: total energy -13.013 eV/atom, mass density 4.9 Mg/m³, formation energy (no corrections) 0.1086 eV per atom. Number 4: total energy -13.327 eV/atom, mass density 3.8 Mg/m³, formation energy (no corrections) -0.2048 eV per atom. Number 5: total energy -19.563 eV/atom, mass density 6.3 Mg/m³, formation energy (no corrections) 1.1066 eV per atom. Number 6: total energy -11.548 eV/atom, mass density 4.7 Mg/m³, formation energy (no corrections) 0.3401 eV per atom.